Entry 1:
Computed, not measured: a relaxed structure of YInTc2 at the PBEsol level of DFT.

a = 3.053 Å, b = 3.053 Å, c = 8.018 Å
α = 90.00°, β = 90.00°, γ = 90.00°
Atoms (fractional coordinates):
Tc 0.500 0.500 0.205
Tc 0.000 0.000 0.039
Y 0.000 0.000 0.469
In 0.500 0.500 0.787

* ρ: 8.88 Mg/m³
* calculated total energy: -8.1979 eV/atom
* symmetry: No. 99
* total magnetic moment: 0.00 μB/atom
* formation energy: -0.45 eV/f.u.



Entry 2:
Computed, not measured: a relaxed structure of KTa2Ir at the PBEsol level of DFT.

a = 2.810 Å, b = 5.337 Å, c = 6.239 Å
α = 115.32°, β = 103.01°, γ = 90.00°
Atoms (fractional coordinates):
Ta 0.203 0.203 0.406
Ta 0.797 0.797 0.594
Ir 0.500 0.000 0.000
K 0.000 0.500 0.000

* ρ: 12.03 Mg/m³
* distance to the lowest polymorph of the same formula: 258 meV/atom
* calculated total energy: -8.3127 eV/atom
* symmetry: No. 71
* total magnetic moment: 0.00 μB/atom
* formation energy: 2.81 eV/f.u.



Entry 3:
Computed, not measured: a relaxed structure of Y2HgSe at the PBEsol level of DFT.

a = 3.930 Å, b = 3.930 Å, c = 7.802 Å
α = 75.41°, β = 75.41°, γ = 60.00°
Atoms (fractional coordinates):
Hg 0.000 0.000 0.000
Y 0.243 0.243 0.271
Y 0.757 0.757 0.729
Se 0.500 0.500 0.500

* formation energy without anion corrections: -464 kJ/mol of formula units
* ρ: 7.61 Mg/m³
* distance to the lowest polymorph of the same formula: 0 meV/atom
* calculated total energy: -5.7180 eV/atom
* symmetry: No. 166
* total magnetic moment: 0.00 μB/atom



Entry 4:
Computed, not measured: a relaxed structure of In2ReSi at the PBEsol level of DFT.

a = 3.406 Å, b = 4.457 Å, c = 4.594 Å
α = 90.00°, β = 90.00°, γ = 90.00°
Atoms (fractional coordinates):
Re 0.500 0.000 0.500
Si 0.000 0.500 0.500
In 0.000 0.000 0.000
In 0.500 0.500 0.000

* formation energy without anion corrections: 261 kJ/mol of formula units
* ρ: 10.57 Mg/m³
* calculated total energy: -5.5835 eV/atom
* symmetry: No. 47
* total magnetic moment: 0.00 μB/atom